A plane-wave DFT calculation with PBE was carried out for a geometry-optimized ZnSb structure.

Properties
Its space group is P4_2/mnm (136). For the energy, the calculation gives -2.600 eV per atom.

abc: 7.0412 7.0412 4.7340
angles: 90.00 90.00 90.00
Last column: nearest neighbours and their distance in Å.
Positions (direct):
Sb 0.8479 0.1521 0.5000  4 Zn 2.64-2.75
Sb 0.3479 0.3479 0.0000  4 Zn 2.64-2.75
Sb 0.1521 0.8479 0.5000  4 Zn 2.64-2.75
Sb 0.6521 0.6521 0.0000  4 Zn 2.64-2.75
Zn 0.2310 0.2310 0.5000  4 Sb 2.64-2.75
Zn 0.7690 0.7690 0.5000  4 Sb 2.64-2.75
Zn 0.7310 0.2690 0.0000  4 Sb 2.64-2.75
Zn 0.2690 0.7310 0.0000  4 Sb 2.64-2.75